Entry 1:
BaCa2GaTe | Alexandria | PBEsol | relaxed; N(E_F) = 1.30 states/eV per atom; total magnetization = 1.436 μB/f.u.; energy relative to the elements, uncorrected = 17.07 kcal/mol of atoms
1.0
5.443 0.000 0.000
0.000 6.160 0.000
0.000 0.000 6.160
Ca Te Ba Ga
2 1 1 1
direct
0.000 0.000 0.500
0.000 0.500 0.000
0.500 0.500 0.500
0.000 0.000 0.000
0.500 0.000 0.000

Entry 2:
LaTl2HgSb | Alexandria | PBEsol | relaxed; N(E_F) = 0.70 states/eV per atom; total magnetization = 0.000 μB/f.u.; energy relative to the elements, uncorrected = 3.19 kcal/mol of atoms
1.0
-3.293 -4.268 0.558
2.693 -1.495 4.460
-3.480 3.095 3.138
Sb Tl Hg La
1 2 1 1
direct
0.000 0.000 0.500
0.000 0.500 0.000
0.500 0.000 0.000
0.000 0.000 0.000
0.500 0.500 0.500

Entry 3:
K2AgHg | Alexandria | PBEsol | relaxed; N(E_F) = 0.40 states/eV per atom; ΔH_f (0 K) = -0.06 eV/atom; total magnetization = 0.000 μB/f.u.
1.0
4.754 0.000 0.000
0.000 4.823 0.000
-2.377 0.000 6.120
K Hg Ag
2 1 1
direct
0.105 0.000 0.210
0.398 0.500 0.796
0.691 0.500 0.381
0.809 0.000 0.618